DFT (PBE with a Hubbard U) results for a relaxed CrCdF3 crystal.

Values from the calculation:
**Raw total energy**: -23.5 eV for the cell shown
**Offset from the most stable computed form**: 0.0 meV per atom

Lattice parameters (Å, degrees): 4.180 4.180 4.180 90.00 90.00 90.00
Space group Pm-3m (No. 221)
Asymmetric unit:
Cr (0.000, 0.000, 0.000) x1
Cd (0.500, 0.500, 0.500) x1
F (0.000, 0.000, 0.500) x3